[1]
First-principles (GGA-PBE) data for LaPr2Nd4 after structural relaxation, as listed in Alexandria.

Computed properties:
- ΔE_f (meV/atom) = 246
- N(E_F) (states/eV/cell) = 21.6

The structure in CIF format:
```
data_LaPr2Nd4
_chemical_formula_sum 'La2 Pr4 Nd8'
_symmetry_space_group_name_H-M 'P -1'
_symmetry_Int_Tables_number 2
_cell_length_a 7.1783
_cell_length_b 8.6073
_cell_length_c 8.6213
_cell_angle_alpha 87.15
_cell_angle_beta 82.09
_cell_angle_gamma 81.95
loop_
_symmetry_equiv_pos_as_xyz
'x,y,z'
'-x,-y,-z'
loop_
_atom_site_label
_atom_site_type_symbol
_atom_site_fract_x
_atom_site_fract_y
_atom_site_fract_z
La1 La 0.0000 0.0000 0.0000
La2 La 0.5000 0.0000 0.0000
Pr1 Pr 0.0000 0.0000 0.5000
Pr2 Pr 0.0000 0.5000 0.0000
Pr3 Pr 0.0000 0.5000 0.5000
Pr4 Pr 0.5000 0.5000 0.5000
Nd1 Nd 0.2670 0.2480 0.2485
Nd2 Nd 0.2671 0.7489 0.7495
Nd3 Nd 0.3884 0.1417 0.6398
Nd4 Nd 0.3885 0.6396 0.1418
```

***

[2]
First-principles (GGA-PBE) data for La7Pr3Nd after structural relaxation, as listed in Alexandria.

Computed properties:
- ΔE_f (meV/atom) = 111
- N(E_F) (states/eV/cell) = 12.9

The structure in CIF format:
```
data_La7Pr3Nd
_chemical_formula_sum 'La7 Pr3 Nd1'
_symmetry_space_group_name_H-M 'P 3 m 1'
_symmetry_Int_Tables_number 156
_cell_length_a 11.2938
_cell_length_b 11.2938
_cell_length_c 3.6715
_cell_angle_alpha 90.00
_cell_angle_beta 90.00
_cell_angle_gamma 120.00
loop_
_symmetry_equiv_pos_as_xyz
'x,y,z'
'-y,x-y,z'
'-x+y,-x,z'
'-y,-x,z'
'-x+y,y,z'
'x,x-y,z'
loop_
_atom_site_label
_atom_site_type_symbol
_atom_site_fract_x
_atom_site_fract_y
_atom_site_fract_z
La1 La 0.0000 0.0000 0.9998
La2 La 0.3983 0.1991 0.5007
La3 La 0.5008 0.0017 0.0000
Pr1 Pr 0.1677 0.3354 0.4991
Nd1 Nd 0.3333 0.6667 0.9983
```

***

[3]
First-principles (GGA-PBE) data for La6Pr3Nd2 after structural relaxation, as listed in Alexandria.

Computed properties:
- ΔE_f (meV/atom) = 13
- N(E_F) (states/eV/cell) = 21.9

The structure in CIF format:
```
data_La6Pr3Nd2
_chemical_formula_sum 'La6 Pr3 Nd2'
_symmetry_space_group_name_H-M 'P -1'
_symmetry_Int_Tables_number 2
_cell_length_a 6.4691
_cell_length_b 8.2899
_cell_length_c 8.2953
_cell_angle_alpha 107.35
_cell_angle_beta 104.91
_cell_angle_gamma 96.98
loop_
_symmetry_equiv_pos_as_xyz
'x,y,z'
'-x,-y,-z'
loop_
_atom_site_label
_atom_site_type_symbol
_atom_site_fract_x
_atom_site_fract_y
_atom_site_fract_z
La1 La 0.0460 0.4092 0.1806
La2 La 0.1355 0.2271 0.5455
La3 La 0.3189 0.8655 0.2723
Pr1 Pr 0.4083 0.6829 0.6370
Pr2 Pr 0.5000 0.5000 0.0000
Nd1 Nd 0.2264 0.0462 0.9095
```